(1)
The following is a DFT calculation (PBE-GGA) of crystalline TlRu2Se at its relaxed geometry.

Geometry as CIF:
```
data_TlRu2Se
_chemical_formula_sum 'Tl3 Ru6 Se3'
_symmetry_space_group_name_H-M 'R -3 m'
_symmetry_Int_Tables_number 166
_symmetry_space_group_name_Hall '-R 3 2"'
_cell_length_a 3.1460
_cell_length_b 3.1460
_cell_length_c 24.0525
_cell_angle_alpha 90.00
_cell_angle_beta 90.00
_cell_angle_gamma 120.00
loop_
_atom_site_label
_atom_site_fract_x
_atom_site_fract_y
_atom_site_fract_z
Tl1 0.0000 0.0000 0.0000
Ru1 0.0000 0.0000 0.2392
Se1 0.0000 0.0000 0.5000
```

Energy relative to the elements, uncorrected, eV per atom: 0.3906
Polymorph energy (0 for the lowest one), meV/atom: 106
Total magnetic moment, μB per formula unit: 0.0


(2)
The following is a DFT calculation (PBE-GGA) of crystalline Sm3DyC2 at its relaxed geometry.

Geometry as CIF:
```
data_Sm3DyC2
_chemical_formula_sum 'Sm6 Dy2 C4'
_symmetry_space_group_name_H-M 'P -3 m 1'
_symmetry_Int_Tables_number 164
_symmetry_space_group_name_Hall '-P 3 2"'
_cell_length_a 7.2421
_cell_length_b 7.2421
_cell_length_c 6.4791
_cell_angle_alpha 90.00
_cell_angle_beta 90.00
_cell_angle_gamma 120.00
loop_
_atom_site_label
_atom_site_fract_x
_atom_site_fract_y
_atom_site_fract_z
Sm1 0.1662 0.3325 0.2173
Dy1 0.3333 0.6667 0.7975
C1 0.0000 0.0000 0.0000
C2 0.0000 0.5000 0.0000
```

E_form, meV per atom: -178
Total magnetic moment, μB per formula unit: 0.0


(3)
The following is a DFT calculation (PBE-GGA) of crystalline Rb3CdOs at its relaxed geometry.

Geometry as CIF:
```
data_Rb3CdOs
_chemical_formula_sum 'Rb3 Cd1 Os1'
_symmetry_space_group_name_H-M 'P m -3 m'
_symmetry_Int_Tables_number 221
_symmetry_space_group_name_Hall '-P 4 2 3'
_cell_length_a 6.516
_cell_length_b 6.516
_cell_length_c 6.516
_cell_angle_alpha 90.00
_cell_angle_beta 90.00
_cell_angle_gamma 90.00
loop_
_atom_site_label
_atom_site_fract_x
_atom_site_fract_y
_atom_site_fract_z
Rb1 0.000 0.000 0.500
Cd1 0.500 0.500 0.500
Os1 0.000 0.000 0.000
```

Polymorph energy (0 for the lowest one), meV/atom: 0
E_form, meV per atom: 1142
Total magnetic moment, μB per formula unit: 1.1